PrCdSe: relaxed, GGA-PBE.

a b c (Å): 8.595 8.595 8.595
angles (deg): 33.56 33.56 33.56
Fractional coordinates of all 6 atoms:
Pr: 0.086 0.086 0.086
Pr: 0.914 0.914 0.914
Cd: 0.333 0.333 0.333
Cd: 0.667 0.667 0.667
Se: 0.213 0.213 0.213
Se: 0.787 0.787 0.787

Pr6CdSe5: relaxed, GGA-PBE.

a b c (Å): 7.459 7.459 7.438
angles (deg): 99.57 99.57 119.89
Fractional coordinates of all 12 atoms:
Pr: 0.073 0.415 0.745
Pr: 0.242 0.242 0.253
Pr: 0.415 0.073 0.745
Pr: 0.585 0.927 0.255
Pr: 0.758 0.758 0.747
Pr: 0.927 0.585 0.255
Cd: 0.500 0.500 0.000
Se: 0.000 0.000 0.500
Se: 0.166 0.834 0.000
Se: 0.336 0.664 0.500
Se: 0.664 0.336 0.500
Se: 0.834 0.166 0.000

Summary of formation energy (no corrections) in meV per atom
-1093.2, -1572.5
(order as listed above)